Density functional theory data (PBE) for an optimized crystal structure of CaSmCdSi.

abc: 7.367 7.367 7.367
angles: 90.00 90.00 90.00
Space group F-43m (No. 216)
One atom of each set of equivalent atoms:
Ca  0.000  0.000  0.000
Sm  0.000  0.000  0.500
Cd  0.250  0.250  0.750
Si  0.250  0.250  0.250

Output
- ΔE_f (raw) (eV/atom) = -0.35
- crystal system = cubic